## NdFe3O6 (PBE with a Hubbard U)

Data for a geometry-optimized NdFe3O6 structure.

Total DFT energy (no corrections) = -6.762 eV/atom

abc: 5.3351 5.3351 14.0696
angles: 90.00 90.00 120.00
Space group R3 (No. 146, hexagonal axes)
Unique sites:
Nd: 0.0000 0.0000 0.0000 [3 per cell]
Fe: 0.0000 0.0000 0.2579 [3 per cell]
Fe: 0.0000 0.0000 0.4621 [3 per cell]
Fe: 0.0000 0.0000 0.7750 [3 per cell]
O: 0.0085 0.6549 0.5281 [9 per cell]
O: 0.0252 0.4304 0.0364 [9 per cell]